Cs2CrSiF6: relaxed, GGA+U.

Values from the calculation:
Total DFT energy (no corrections)   -5.02 eV per atom
Calculated volume   18.35 Å³/atom

```
data_Cs2CrSiF6
_chemical_formula_sum 'Cs4 Cr2 Si2 F12'
_space_group_name_H-M_alt 'I 4/m m m'
_space_group_IT_number 139
_space_group_name_Hall '-I 4 2'
_cell_length_a 6.3083
_cell_length_b 6.3083
_cell_length_c 9.2203
_cell_angle_alpha 90.00
_cell_angle_beta 90.00
_cell_angle_gamma 90.00
loop_
_atom_site_label
_atom_site_type_symbol
_atom_site_fract_x
_atom_site_fract_y
_atom_site_fract_z
_atom_site_occupancy
Cs1 Cs 0.0000 0.5000 0.2500 1
Cr1 Cr 0.0000 0.0000 0.0000 1
Si1 Si 0.0000 0.0000 0.5000 1
F1 F 0.0000 0.0000 0.2895 1
F2 F 0.2284 0.2284 0.0000 1
```